# 1
An optimized crystal structure of YCuNi2, computed with PBEsol.

Cell: 3.906 3.906 3.701 Å, 90.00 90.00 90.00°
Fractional coordinates of all 4 atoms:
Y  0.000  0.000  0.000
Cu  0.500  0.500  0.000
Ni  0.000  0.500  0.500
Ni  0.500  0.000  0.500

Calculated values
SG	P4/mmm, No. 123
magnetization	0.00	μB per formula unit
DFT total energy	-6.04	eV/atom
formation energy	-174	meV per atom

# 2
An optimized crystal structure of YCuNi2, computed with PBEsol.

Cell: 3.765 3.765 7.945 Å, 90.00 90.00 90.00°
Fractional coordinates of all 8 atoms:
Y  0.000  0.000  0.000
Y  0.500  0.500  0.500
Cu  0.000  0.500  0.250
Cu  0.500  0.000  0.750
Ni  0.000  0.000  0.500
Ni  0.000  0.500  0.750
Ni  0.500  0.000  0.250
Ni  0.500  0.500  0.000

Calculated values
SG	I-4m2, No. 119
magnetization	0.00	μB per formula unit
DFT total energy	-6.03	eV/atom
formation energy	-166	meV per atom

# 3
An optimized crystal structure of YCu2Ni2, computed with PBEsol.

Cell: 3.693 3.693 10.589 Å, 90.00 90.00 90.00°
Fractional coordinates of all 10 atoms:
Y  0.000  0.000  0.000
Y  0.500  0.500  0.500
Cu  0.000  0.500  0.250
Cu  0.000  0.500  0.750
Cu  0.500  0.000  0.250
Cu  0.500  0.000  0.750
Ni  0.000  0.000  0.393
Ni  0.000  0.000  0.607
Ni  0.500  0.500  0.107
Ni  0.500  0.500  0.893

Calculated values
SG	I4/mmm, No. 139
magnetization	0.00	μB per formula unit
DFT total energy	-5.75	eV/atom
formation energy	-186	meV per atom

# 4
An optimized crystal structure of Zn2CuNi, computed with PBEsol.

Cell: 8.241 2.616 4.526 Å, 90.00 100.68 90.00°
Fractional coordinates of all 8 atoms:
Zn  0.248  0.000  0.245
Zn  0.252  0.500  0.755
Zn  0.748  0.500  0.245
Zn  0.752  0.000  0.755
Cu  0.000  0.000  0.500
Cu  0.500  0.500  0.500
Ni  0.000  0.500  0.000
Ni  0.500  0.000  0.000

Calculated values
SG	C2/m, No. 12
magnetization	0.00	μB per formula unit
DFT total energy	-3.53	eV/atom
formation energy	-116	meV per atom

# 5
An optimized crystal structure of Zn2CuNi, computed with PBEsol.

Cell: 2.897 2.897 5.749 Å, 90.00 90.00 90.00°
Fractional coordinates of all 4 atoms:
Zn  0.000  0.000  0.000
Zn  0.500  0.500  0.287
Cu  0.000  0.000  0.531
Ni  0.500  0.500  0.769

Calculated values
SG	P4mm, No. 99
magnetization	0.00	μB per formula unit
DFT total energy	-3.50	eV/atom
formation energy	-86	meV per atom

# 6
An optimized crystal structure of Zn2CuNi, computed with PBEsol.

Cell: 5.755 5.755 5.755 Å, 90.00 90.00 90.00°
Fractional coordinates of all 16 atoms:
Zn  0.000  0.000  0.000
Zn  0.000  0.500  0.500
Zn  0.250  0.250  0.250
Zn  0.250  0.750  0.750
Zn  0.500  0.000  0.500
Zn  0.500  0.500  0.000
Zn  0.750  0.250  0.750
Zn  0.750  0.750  0.250
Cu  0.250  0.250  0.750
Cu  0.250  0.750  0.250
Cu  0.750  0.250  0.250
Cu  0.750  0.750  0.750
Ni  0.000  0.000  0.500
Ni  0.000  0.500  0.000
Ni  0.500  0.000  0.000
Ni  0.500  0.500  0.500

Calculated values
SG	F-43m, No. 216
magnetization	0.00	μB per formula unit
DFT total energy	-3.53	eV/atom
formation energy	-112	meV per atom

# 7
An optimized crystal structure of Zn2CuNi, computed with PBEsol.

Cell: 4.301 2.637 4.498 Å, 90.00 109.98 90.00°
Fractional coordinates of all 4 atoms:
Zn  0.000  0.000  0.000
Zn  0.000  0.500  0.500
Cu  0.500  0.000  0.500
Ni  0.500  0.500  0.000

Calculated values
SG	P2/m, No. 10
magnetization	0.00	μB per formula unit
DFT total energy	-3.53	eV/atom
formation energy	-116	meV per atom

# 8
An optimized crystal structure of Zn2CuNi, computed with PBEsol.

Cell: 2.599 3.614 5.104 Å, 90.00 90.00 90.00°
Fractional coordinates of all 4 atoms:
Zn  0.000  0.000  0.000
Zn  0.500  0.500  0.283
Cu  0.000  0.000  0.520
Ni  0.500  0.500  0.774

Calculated values
SG	Pmm2, No. 25
magnetization	0.00	μB per formula unit
DFT total energy	-3.53	eV/atom
formation energy	-117	meV per atom

> The highest DFT total energy belongs to which entry?

number 5

> Number 7 is which compound?

Zn2CuNi